1.
The following is a PBE calculation of AlCd2Os after structural relaxation, from Alexandria via LeMat-Bulk. Values from VASP.

The structure in Quantum ESPRESSO input format:
```
&SYSTEM
  ibrav = 0, nat = 4, ntyp = 3
/
ATOMIC_SPECIES
Al 26.98 Al.upf
Cd 112.41 Cd.upf
Os 190.23 Os.upf
ATOMIC_POSITIONS angstrom
Al 0.0000 0.0000 0.0000
Cd 1.3710 2.1317 1.5135
Cd 1.3710 -2.1317 1.5135
Os 2.7420 0.0000 0.0000
CELL_PARAMETERS angstrom
2.7420 -4.2634 0.0000
2.7420 4.2634 0.0000
0.0000 0.0000 3.0269
```

Computed properties:
- Symmetry: Cmmm, No. 65
- Energy: -15.1 eV per cell

2.
The following is a PBE calculation of Al2CdOs after structural relaxation, from Alexandria via LeMat-Bulk. Values from VASP.

The structure in Quantum ESPRESSO input format:
```
&SYSTEM
  ibrav = 0, nat = 4, ntyp = 3
/
ATOMIC_SPECIES
Al 26.98 Al.upf
Cd 112.41 Cd.upf
Os 190.23 Os.upf
ATOMIC_POSITIONS angstrom
Al 0.0000 0.0000 0.0000
Al 1.4448 0.0000 2.3968
Cd 1.4448 0.0000 6.9898
Os 0.0000 0.0000 4.4298
CELL_PARAMETERS angstrom
1.4448 -2.4103 0.0000
1.4448 2.4103 0.0000
0.0000 0.0000 9.9727
```

Computed properties:
- Symmetry: Cmm2, No. 35
- Energy: -18.6 eV per cell

3.
The following is a PBE calculation of AlCdOs4 after structural relaxation, from Alexandria via LeMat-Bulk. Values from VASP.

The structure in Quantum ESPRESSO input format:
```
&SYSTEM
  ibrav = 0, nat = 6, ntyp = 3
/
ATOMIC_SPECIES
Al 26.98 Al.upf
Cd 112.41 Cd.upf
Os 190.23 Os.upf
ATOMIC_POSITIONS angstrom
Al 0.0000 0.0000 0.0000
Cd 5.5170 5.5170 5.5170
Os 2.7568 2.7568 2.7568
Os 4.5992 4.5992 2.7568
Os 4.5992 2.7568 4.5992
Os 2.7568 4.5992 4.5992
CELL_PARAMETERS angstrom
0.0000 3.6780 3.6780
3.6780 0.0000 3.6780
3.6780 3.6780 0.0000
```

Computed properties:
- Symmetry: F-43m, No. 216
- Energy: -45.9 eV per cell

4.
The following is a PBE calculation of AlCd2Os after structural relaxation, from Alexandria via LeMat-Bulk. Values from VASP.

The structure in Quantum ESPRESSO input format:
```
&SYSTEM
  ibrav = 0, nat = 8, ntyp = 3
/
ATOMIC_SPECIES
Al 26.98 Al.upf
Cd 112.41 Cd.upf
Os 190.23 Os.upf
ATOMIC_POSITIONS angstrom
Al 0.0000 0.0000 0.0000
Al 0.0000 1.9272 5.0974
Cd 0.9636 -0.9339 7.6461
Cd 0.9933 0.9636 2.5487
Cd 0.9636 2.8612 -2.5487
Cd 0.9339 0.9636 12.7436
Os 1.9272 0.0000 5.0974
Os 0.0000 0.0000 10.1949
CELL_PARAMETERS angstrom
-1.9272 1.9272 10.1949
1.9272 -1.9272 10.1949
1.9272 1.9272 -10.1949
```

Computed properties:
- Symmetry: I-42d, No. 122
- Energy: -28.9 eV per cell

5.
The following is a PBE calculation of Al2CdOs after structural relaxation, from Alexandria via LeMat-Bulk. Values from VASP.

The structure in Quantum ESPRESSO input format:
```
&SYSTEM
  ibrav = 0, nat = 4, ntyp = 3
/
ATOMIC_SPECIES
Al 26.98 Al.upf
Cd 112.41 Cd.upf
Os 190.23 Os.upf
ATOMIC_POSITIONS angstrom
Al 0.0000 0.0000 0.0000
Al 1.4583 1.4583 2.0637
Cd 0.0000 0.0000 4.4398
Os 1.4583 1.4583 6.5218
CELL_PARAMETERS angstrom
2.9165 0.0000 0.0000
0.0000 2.9165 0.0000
0.0000 0.0000 8.0406
```

Computed properties:
- Symmetry: P4mm, No. 99
- Energy: -18.9 eV per cell

6.
The following is a PBE calculation of Al4CdOs after structural relaxation, from Alexandria via LeMat-Bulk. Values from VASP.

The structure in Quantum ESPRESSO input format:
```
&SYSTEM
  ibrav = 0, nat = 6, ntyp = 3
/
ATOMIC_SPECIES
Al 26.98 Al.upf
Cd 112.41 Cd.upf
Os 190.23 Os.upf
ATOMIC_POSITIONS angstrom
Al 2.7279 2.7279 2.7279
Al 4.5154 4.5154 2.7279
Al 4.5154 2.7279 4.5154
Al 2.7279 4.5154 4.5154
Cd 0.0000 0.0000 0.0000
Os 5.4325 5.4325 5.4325
CELL_PARAMETERS angstrom
0.0000 3.6216 3.6216
3.6216 0.0000 3.6216
3.6216 3.6216 0.0000
```

Computed properties:
- Symmetry: F-43m, No. 216
- Energy: -26.0 eV per cell

7.
The following is a PBE calculation of AlCd2Os after structural relaxation, from Alexandria via LeMat-Bulk. Values from VASP.

The structure in Quantum ESPRESSO input format:
```
&SYSTEM
  ibrav = 0, nat = 4, ntyp = 3
/
ATOMIC_SPECIES
Al 26.98 Al.upf
Cd 112.41 Cd.upf
Os 190.23 Os.upf
ATOMIC_POSITIONS angstrom
Al 0.0000 0.0000 0.0000
Cd 1.4867 2.1674 1.4006
Cd 1.4867 2.1674 4.0933
Os 0.0000 0.0000 2.7470
CELL_PARAMETERS angstrom
2.9734 0.0000 0.0000
0.0000 4.3347 0.0000
0.0000 0.0000 5.4939
```

Computed properties:
- Symmetry: Pmmm, No. 47
- Energy: -15.1 eV per cell

8.
The following is a PBE calculation of AlCd2Os after structural relaxation, from Alexandria via LeMat-Bulk. Values from VASP.

The structure in Quantum ESPRESSO input format:
```
&SYSTEM
  ibrav = 0, nat = 4, ntyp = 3
/
ATOMIC_SPECIES
Al 26.98 Al.upf
Cd 112.41 Cd.upf
Os 190.23 Os.upf
ATOMIC_POSITIONS angstrom
Al 0.0000 0.0000 0.0000
Cd 0.0000 1.9828 2.1855
Cd 1.9828 0.0000 2.1855
Os 1.9828 1.9828 0.0000
CELL_PARAMETERS angstrom
3.9657 0.0000 0.0000
0.0000 3.9657 0.0000
0.0000 0.0000 4.3710
```

Computed properties:
- Symmetry: P4/mmm, No. 123
- Energy: -15.5 eV per cell

no.,formation energy from the elements (eV/atom),DOS(E_F) (states/eV/f.u.)
1,0.4179,2.8
2,0.2562,2.6
3,0.6208,9.0
4,0.5878,2.5
5,0.1795,2.3
6,0.1939,1.2
7,0.4360,2.6
8,0.3224,2.9